## PmIn2FeO6 (PBE with a Hubbard U)

Data for PmIn2FeO6 after structural relaxation.

Values from the calculation:
SG: No. 146
E_tot, eV/cell: -65.03
Spin magnetization, μB/cell: 4.95

a = 5.896 Å, b = 5.896 Å, c = 5.896 Å
α = 56.46°, β = 56.46°, γ = 56.46°
Fractional positions:
1 Pm 0.000 0.000 0.000
2 In 0.273 0.273 0.273
3 In 0.782 0.782 0.782
4 Fe 0.483 0.483 0.483
5 O 0.096 0.653 0.411
6 O 0.203 0.574 0.862
7 O 0.411 0.096 0.653
8 O 0.574 0.862 0.203
9 O 0.653 0.411 0.096
10 O 0.862 0.203 0.574